1.
Computed, not measured: a relaxed structure of LaPu2Ge4 at the PBE-GGA level of DFT.

a b c (Å): 4.097 4.368 9.752
angles (deg): 102.94 102.12 90.00
Sites, in units of the cell vectors:
Pu1 0.185 0.185 0.371
Pu2 0.815 0.815 0.629
La1 0.500 0.000 0.000
Ge1 0.069 0.569 0.138
Ge2 0.348 0.348 0.695
Ge3 0.652 0.652 0.305
Ge4 0.931 0.431 0.862

Computed properties:
Energy relative to the elements ... -0.53 eV/atom
Space group ... Immm
Final energy ... -7.97 eV per atom
DOS at the Fermi energy ... 20.58 states/eV/cell

2.
Computed, not measured: a relaxed structure of MnZnFeIr at the PBE-GGA level of DFT.

a b c (Å): 4.254 4.254 4.254
angles (deg): 60.00 60.00 60.00
Sites, in units of the cell vectors:
Zn1 0.000 0.000 0.000
Fe1 0.500 0.500 0.500
Mn1 0.750 0.750 0.750
Ir1 0.250 0.250 0.250

Computed properties:
Energy relative to the elements ... -0.05 eV/atom
Space group ... F-43m
Final energy ... -6.99 eV per atom
DOS at the Fermi energy ... 2.71 states/eV/cell

3.
Computed, not measured: a relaxed structure of Tm5Bi2Pb2 at the PBE-GGA level of DFT.

a b c (Å): 7.624 8.268 10.545
angles (deg): 113.08 111.19 90.00
Sites, in units of the cell vectors:
Pb1 0.290 0.425 0.500
Pb2 0.500 0.461 0.000
Pb3 0.000 0.961 0.000
Pb4 0.710 0.925 0.500
Tm1 0.518 0.512 0.311
Tm2 0.053 0.734 0.500
Tm3 0.293 0.012 0.311
Tm4 0.947 0.234 0.500
Tm5 0.780 0.800 0.139
Tm6 0.482 0.202 0.689
Tm7 0.707 0.702 0.689
Tm8 0.140 0.161 0.861
Tm9 0.220 0.661 0.861
Tm10 0.860 0.300 0.139
Bi1 0.442 0.924 0.806
Bi2 0.864 0.424 0.806
Bi3 0.558 0.118 0.194
Bi4 0.136 0.618 0.194

Computed properties:
Energy relative to the elements ... -0.34 eV/atom
Space group ... Ima2
Final energy ... -4.51 eV per atom
DOS at the Fermi energy ... 9.82 states/eV/cell

4.
Computed, not measured: a relaxed structure of Sm7PtSe5 at the PBE-GGA level of DFT.

a b c (Å): 4.050 7.178 24.949
angles (deg): 90.00 90.00 106.39
Sites, in units of the cell vectors:
Sm1 0.362 0.724 0.962
Sm2 0.915 0.830 0.389
Sm3 0.457 0.915 0.250
Sm4 0.204 0.407 0.180
Sm5 0.203 0.407 0.320
Sm6 0.639 0.278 0.462
Sm7 0.086 0.172 0.889
Sm8 0.362 0.723 0.538
Sm9 0.086 0.171 0.611
Sm10 0.797 0.594 0.820
Sm11 0.915 0.830 0.111
Sm12 0.797 0.594 0.680
Sm13 0.639 0.278 0.038
Sm14 0.543 0.086 0.750
Pt1 0.195 0.390 0.750
Pt2 0.806 0.611 0.250
Se1 0.722 0.444 0.929
Se2 0.279 0.557 0.429
Se3 0.556 0.112 0.355
Se4 0.000 0.001 0.000
Se5 0.445 0.889 0.855
Se6 0.556 0.112 0.145
Se7 0.444 0.889 0.645
Se8 0.722 0.444 0.571
Se9 0.000 0.000 0.500
Se10 0.279 0.557 0.071

Computed properties:
Space group ... Cmcm
Final energy ... -5.93 eV per atom
DOS at the Fermi energy ... 14.24 states/eV/cell

5.
Computed, not measured: a relaxed structure of KAu5 at the PBE-GGA level of DFT.

a b c (Å): 3.001 3.001 13.449
angles (deg): 90.00 90.00 90.00
Sites, in units of the cell vectors:
Au1 0.000 0.000 0.804
Au2 0.000 0.000 0.196
Au3 0.500 0.500 0.650
Au4 0.000 0.000 0.500
Au5 0.500 0.500 0.350
K1 0.500 0.500 0.000

Computed properties:
Energy relative to the elements ... 0.03 eV/atom
Space group ... P4/mmm
Final energy ... -2.89 eV per atom
DOS at the Fermi energy ... 0.93 states/eV/cell

6.
Computed, not measured: a relaxed structure of PRuPtS2 at the PBE-GGA level of DFT.

a b c (Å): 4.808 4.808 4.483
angles (deg): 90.00 90.00 90.00
Sites, in units of the cell vectors:
P1 0.000 0.000 0.500
S1 0.500 0.000 0.000
S2 0.000 0.500 0.000
Ru1 0.500 0.500 0.500
Pt1 0.000 0.000 0.000

Computed properties:
Space group ... P4/mmm
Final energy ... -4.64 eV per atom
DOS at the Fermi energy ... 6.39 states/eV/cell

7.
Computed, not measured: a relaxed structure of Cs2HfSCl6 at the PBE-GGA level of DFT.

a b c (Å): 7.820 7.820 8.172
angles (deg): 61.41 61.41 90.00
Sites, in units of the cell vectors:
Cl1 0.795 0.795 0.409
Cl2 0.222 0.778 0.000
Cl3 0.778 0.778 0.000
Cl4 0.205 0.205 0.591
Cl5 0.778 0.222 0.000
Cl6 0.222 0.222 0.000
S1 0.500 0.500 0.000
Hf1 0.000 0.000 0.000
Cs1 0.750 0.250 0.500
Cs2 0.250 0.750 0.500

Computed properties:
Space group ... I4/mmm
Final energy ... -4.19 eV per atom
DOS at the Fermi energy ... 0.00 states/eV/cell

8.
Computed, not measured: a relaxed structure of RbIn2GaPd at the PBE-GGA level of DFT.

a b c (Å): 5.360 5.360 5.043
angles (deg): 90.00 90.00 90.00
Sites, in units of the cell vectors:
In1 0.000 0.500 0.000
In2 0.500 0.000 0.000
Rb1 0.500 0.500 0.500
Ga1 0.000 0.000 0.500
Pd1 0.000 0.000 0.000

Computed properties:
Energy relative to the elements ... -0.13 eV/atom
Space group ... P4/mmm
Final energy ... -3.07 eV per atom
DOS at the Fermi energy ... 3.08 states/eV/cell

9.
Computed, not measured: a relaxed structure of ErSc3 at the PBE-GGA level of DFT.

a b c (Å): 4.710 4.710 5.741
angles (deg): 114.22 114.22 90.00
Sites, in units of the cell vectors:
Sc1 0.500 0.500 0.000
Sc2 0.750 0.250 0.500
Sc3 0.250 0.750 0.500
Er1 0.000 0.000 0.000

Computed properties:
Energy relative to the elements ... 0.05 eV/atom
Space group ... I4/mmm
Final energy ... -5.84 eV per atom
DOS at the Fermi energy ... 7.13 states/eV/cell

10.
Computed, not measured: a relaxed structure of CeNpH2 at the PBE-GGA level of DFT.

a b c (Å): 3.065 3.065 7.479
angles (deg): 78.18 78.18 60.00
Sites, in units of the cell vectors:
Ce1 0.000 0.000 0.000
H1 0.104 0.104 0.689
H2 0.896 0.896 0.311
Np1 0.500 0.500 0.500

Computed properties:
Space group ... R-3m
Final energy ... -6.37 eV per atom
DOS at the Fermi energy ... 6.18 states/eV/cell